1.
Material: IrSe2Cl
Method: DFT, PBE
State: optimized geometry

Output
SG: R-3m
Raw formation energy: -0.150 eV per atom

abc: 7.339 7.339 7.339
angles: 29.37 29.37 29.37
Fractional coordinates of all 4 atoms:
1 Ir 0.000 0.000 0.000
2 Se 0.272 0.272 0.272
3 Se 0.728 0.728 0.728
4 Cl 0.500 0.500 0.500

---

2.
Material: FeAu2S
Method: DFT, PBE
State: optimized geometry

Output
SG: I-42d
Raw formation energy: 0.410 eV per atom

abc: 5.831 5.831 5.831
angles: 101.74 101.74 126.37
Fractional coordinates of all 8 atoms:
1 Fe 0.000 0.000 0.000
2 Fe 0.750 0.250 0.500
3 Au 0.132 0.625 0.007
4 Au 0.375 0.382 0.507
5 Au 0.618 0.125 0.993
6 Au 0.875 0.868 0.493
7 S 0.250 0.750 0.500
8 S 0.500 0.500 0.000

---

3.
Material: Ho2ThZrAs4
Method: DFT, PBE
State: optimized geometry

Output
SG: P2/m
Formation energy from the elements: -1.36 eV/atom

abc: 7.066 4.085 7.081
angles: 90.00 109.42 90.00
Fractional coordinates of all 8 atoms:
1 Ho 0.000 0.000 0.000
2 Ho 0.500 0.500 0.000
3 Th 0.000 0.500 0.500
4 Zr 0.500 0.000 0.500
5 As 0.262 0.000 0.753
6 As 0.262 0.500 0.255
7 As 0.738 0.000 0.247
8 As 0.738 0.500 0.745

---

4.
Material: Mn2Tl4Br9
Method: DFT, PBE
State: optimized geometry

Output
SG: P-1
Raw formation energy: -0.776 eV per atom

abc: 7.688 7.825 21.057
angles: 89.83 89.93 60.67
Fractional coordinates of all 30 atoms:
1 Mn 0.056 0.058 0.360
2 Mn 0.115 0.940 0.140
3 Mn 0.885 0.060 0.860
4 Mn 0.944 0.942 0.640
5 Tl 0.267 0.303 0.685
6 Tl 0.301 0.353 0.947
7 Tl 0.345 0.352 0.448
8 Tl 0.432 0.301 0.185
9 Tl 0.568 0.699 0.815
10 Tl 0.655 0.648 0.552
11 Tl 0.699 0.647 0.053
12 Tl 0.733 0.697 0.315
13 Br 0.023 0.184 0.590
14 Br 0.066 0.001 0.750
15 Br 0.111 0.642 0.092
16 Br 0.165 0.280 0.305
17 Br 0.205 0.818 0.910
18 Br 0.247 0.643 0.591
19 Br 0.297 0.079 0.076
20 Br 0.376 0.919 0.424
21 Br 0.445 0.719 0.195
22 Br 0.555 0.281 0.805
23 Br 0.624 0.081 0.576
24 Br 0.703 0.921 0.924
25 Br 0.753 0.357 0.409
26 Br 0.795 0.182 0.090
27 Br 0.835 0.720 0.695
28 Br 0.889 0.358 0.908
29 Br 0.934 0.999 0.250
30 Br 0.977 0.816 0.410

---

5.
Material: Na4LiCe3O8
Method: DFT, PBE
State: optimized geometry

Output
SG: R-3m
Raw formation energy: -2.526 eV per atom

abc: 6.857 6.857 6.857
angles: 61.19 61.19 61.19
Fractional coordinates of all 16 atoms:
1 Na 0.000 0.000 0.000
2 Na 0.000 0.500 0.500
3 Na 0.500 0.000 0.500
4 Na 0.500 0.500 0.000
5 Li 0.500 0.500 0.500
6 Ce 0.000 0.000 0.500
7 Ce 0.000 0.500 0.000
8 Ce 0.500 0.000 0.000
9 O 0.219 0.747 0.747
10 O 0.241 0.241 0.241
11 O 0.253 0.253 0.781
12 O 0.253 0.781 0.253
13 O 0.747 0.219 0.747
14 O 0.747 0.747 0.219
15 O 0.759 0.759 0.759
16 O 0.781 0.253 0.253

---

6.
Material: La2Sm5Er4
Method: DFT, PBE
State: optimized geometry

Output
SG: C2/m
Formation energy from the elements: 0.16 eV/atom

abc: 12.556 12.556 9.128
angles: 109.34 109.34 16.19
Fractional coordinates of all 11 atoms:
1 La 0.236 0.236 0.295
2 La 0.764 0.764 0.705
3 Sm 0.000 0.000 0.500
4 Sm 0.339 0.339 0.107
5 Sm 0.375 0.375 0.533
6 Sm 0.625 0.625 0.467
7 Sm 0.661 0.661 0.893
8 Er 0.097 0.097 0.123
9 Er 0.490 0.490 0.175
10 Er 0.510 0.510 0.825
11 Er 0.903 0.903 0.877

---

7.
Material: Sc4CrAg
Method: DFT, PBE
State: optimized geometry

Output
SG: F-43m
Formation energy from the elements: 0.51 eV/atom

abc: 5.727 5.727 5.727
angles: 60.00 60.00 60.00
Fractional coordinates of all 6 atoms:
1 Sc 0.376 0.376 0.376
2 Sc 0.376 0.376 0.873
3 Sc 0.376 0.873 0.376
4 Sc 0.873 0.376 0.376
5 Cr 0.750 0.750 0.750
6 Ag 0.000 0.000 0.000

---

8.
Material: NbRe2Si2
Method: DFT, PBE
State: optimized geometry

Output
SG: P4/mbm
Raw formation energy: -0.196 eV per atom

abc: 6.986 6.986 2.989
angles: 90.00 90.00 90.00
Fractional coordinates of all 10 atoms:
1 Nb 0.000 0.000 0.000
2 Nb 0.500 0.500 0.000
3 Re 0.150 0.350 0.500
4 Re 0.350 0.850 0.500
5 Re 0.650 0.150 0.500
6 Re 0.850 0.650 0.500
7 Si 0.143 0.643 0.000
8 Si 0.357 0.143 0.000
9 Si 0.643 0.857 0.000
10 Si 0.857 0.357 0.000

---

9.
Material: Pa2AlSi3Ir4
Method: DFT, PBE
State: optimized geometry

Output
SG: P-4m2
Raw formation energy: -0.984 eV per atom

abc: 4.081 4.081 10.218
angles: 90.00 90.00 90.00
Fractional coordinates of all 10 atoms:
1 Pa 0.000 0.500 0.248
2 Pa 0.500 0.000 0.752
3 Al 0.000 0.000 0.500
4 Si 0.000 0.500 0.870
5 Si 0.500 0.000 0.130
6 Si 0.500 0.500 0.500
7 Ir 0.000 0.000 0.000
8 Ir 0.000 0.500 0.639
9 Ir 0.500 0.000 0.361
10 Ir 0.500 0.500 0.000

---

10.
Material: Ba2ZrRh
Method: DFT, PBE
State: optimized geometry

Output
SG: Cmmm
Formation energy from the elements: 0.45 eV/atom

abc: 3.602 3.602 9.946
angles: 90.00 90.00 90.08
Fractional coordinates of all 4 atoms:
1 Ba 0.000 0.000 0.197
2 Ba 0.000 0.000 0.803
3 Zr 0.500 0.500 0.500
4 Rh 0.500 0.500 0.000

---

11.
Material: La4As2PI
Method: DFT, PBE
State: optimized geometry

Output
SG: P2/m
Raw formation energy: -1.489 eV per atom

abc: 7.582 4.376 7.692
angles: 90.00 109.14 90.00
Fractional coordinates of all 8 atoms:
1 La 0.231 0.000 0.223
2 La 0.245 0.500 0.766
3 La 0.755 0.500 0.234
4 La 0.769 0.000 0.777
5 As 0.000 0.000 0.500
6 As 0.000 0.500 0.000
7 P 0.500 0.000 0.000
8 I 0.500 0.500 0.500

---

12.
Material: LaTa2Os2
Method: DFT, PBE
State: optimized geometry

Output
SG: I4/mmm
Formation energy from the elements: 0.09 eV/atom

abc: 6.402 6.402 6.402
angles: 139.77 139.77 58.20
Fractional coordinates of all 5 atoms:
1 La 0.000 0.000 0.000
2 Ta 0.369 0.369 0.000
3 Ta 0.631 0.631 0.000
4 Os 0.250 0.750 0.500
5 Os 0.750 0.250 0.500

---

How do the records compare in D(E_F)? In the order shown, they have 3.8; 8.9; 4.2; 7.6; 7.2; 16.4; 7.4; 5.6; 7.5; 3.6; 3.1; 5.3 states/eV/cell.
How do the records compare in M_tot? In the order shown, they have 0.000; 0.863; 0.000; 0.600; 0.068; 0.000; 0.551; 0.000; 0.000; 0.673; 0.000; 0.000 μB/atom.
How do the records compare in E? In the order shown, they have -4.569; -4.376; -6.826; -3.633; -6.567; -4.541; -5.786; -9.358; -8.429; -4.485; -5.985; -10.127 eV/atom.